PBE Pm2SmSnN4, relaxed; density of states at the Fermi level = 3.891 states/eV/cell; DFT total energy = -115.43 eV/cell; ΔE_f (raw) = -0.774 eV per atom; V = 16.7 Å³ per atom
1.0
3.597 0.000 0.000
-1.798 6.000 0.000
0.000 0.000 12.405
Pm Sm Sn N
4 2 2 8
Direct
0.370 0.741 0.535
0.630 0.259 0.035
0.630 0.259 0.465
0.370 0.741 0.965
0.120 0.240 0.750
0.880 0.760 0.250
0.855 0.710 0.750
0.145 0.290 0.250
0.270 0.540 0.129
0.730 0.460 0.629
0.730 0.460 0.871
0.270 0.540 0.371
0.000 0.000 0.500
0.000 0.000 0.000
0.454 0.908 0.750
0.546 0.092 0.250

***

PBE InGaFe2, relaxed; density of states at the Fermi level = 7.271 states/eV/cell; DFT total energy = -41.82 eV/cell; formation enthalpy at 0 K = 0.45 eV/atom; V = 16.3 Å³ per atom
1.0
6.948 0.000 0.000
0.000 6.948 0.000
3.474 3.474 2.704
Fe Ga In
4 2 2
Direct
0.600 0.125 0.250
0.150 0.625 0.250
0.375 0.400 0.750
0.875 0.850 0.750
0.500 0.500 0.000
0.250 0.750 0.500
0.000 0.000 0.000
0.750 0.250 0.500

***

PBE MnZn2In, relaxed; density of states at the Fermi level = 2.153 states/eV/cell; DFT total energy = -13.85 eV/cell; formation enthalpy at 0 K = 0.15 eV/atom; V = 16.9 Å³ per atom
1.0
3.034 0.000 0.000
0.000 3.801 0.000
0.000 0.000 5.848
In Mn Zn
1 1 2
Direct
0.500 0.500 0.250
0.500 0.500 0.750
0.000 0.000 0.966
0.000 0.000 0.534

***

Repeat the second record exactly.
PBE InGaFe2, relaxed; density of states at the Fermi level = 7.271 states/eV/cell; DFT total energy = -41.82 eV/cell; formation enthalpy at 0 K = 0.45 eV/atom; V = 16.3 Å³ per atom
1.0
6.948 0.000 0.000
0.000 6.948 0.000
3.474 3.474 2.704
Fe Ga In
4 2 2
Direct
0.600 0.125 0.250
0.150 0.625 0.250
0.375 0.400 0.750
0.875 0.850 0.750
0.500 0.500 0.000
0.250 0.750 0.500
0.000 0.000 0.000
0.750 0.250 0.500